Entry 1:
HfMo2Pb: optimized geometry, PBE-GGA.

Values from the calculation:
- N(E_F) (states/eV/cell) = 8.150
- energy relative to the elements (meV per atom) = 1033
- space group = I-42d (122)
- uncorrected energy (eV/cell) = -62.39

Lattice parameters (Å, degrees): 7.614 7.614 6.099 51.38 51.38 90.00
Fractional positions:
Pb 0.000 0.000 0.000
Pb 0.750 0.250 0.500
Mo 0.613 0.125 0.250
Mo 0.137 0.625 0.250
Mo 0.375 0.387 0.750
Mo 0.875 0.863 0.750
Hf 0.500 0.500 0.000
Hf 0.250 0.750 0.500


Entry 2:
HfMoPb: optimized geometry, PBE-GGA.

Values from the calculation:
- N(E_F) (states/eV/cell) = 4.341
- excess energy over the best structure of this formula in the dataset (eV per formula unit) = 0.77
- energy relative to the elements (meV per atom) = 389
- space group = Fmmm (69)
- uncorrected energy (eV/cell) = -46.65

Lattice parameters (Å, degrees): 5.436 5.419 5.846 76.51 62.29 59.90
Fractional positions:
Mo 0.750 0.500 0.500
Mo 0.250 0.500 0.500
Pb 0.838 0.325 0.000
Pb 0.162 0.675 0.000
Hf 0.657 0.000 0.686
Hf 0.343 0.000 0.314


Entry 3:
HfMoPb: optimized geometry, PBE-GGA.

Values from the calculation:
- N(E_F) (states/eV/cell) = 1.411
- excess energy over the best structure of this formula in the dataset (eV per formula unit) = 0.00
- energy relative to the elements (meV per atom) = 131
- space group = I4mm (107)
- uncorrected energy (eV/cell) = -48.20

Lattice parameters (Å, degrees): 3.592 3.592 9.420 90.00 90.00 90.00
Fractional positions:
Hf 0.000 0.000 0.826
Hf 0.500 0.500 0.326
Mo 0.000 0.000 0.180
Mo 0.500 0.500 0.680
Pb 0.000 0.000 0.510
Pb 0.500 0.500 0.010


Entry 4:
HfMoPb2: optimized geometry, PBE-GGA.

Values from the calculation:
- N(E_F) (states/eV/cell) = 1.965
- excess energy over the best structure of this formula in the dataset (eV per formula unit) = 0.00
- energy relative to the elements (meV per atom) = 478
- space group = Fm-3m (225)
- uncorrected energy (eV/cell) = -26.29

Lattice parameters (Å, degrees): 4.940 4.940 4.940 60.00 60.00 60.00
Fractional positions:
Pb 0.250 0.250 0.250
Pb 0.750 0.750 0.750
Mo 0.000 0.000 0.000
Hf 0.500 0.500 0.500